The following is a PBE with a Hubbard U calculation of an optimized crystal structure of Ba3Zr2MoO9, from the Alexandria database.

Geometry as extended XYZ:
```
15
Lattice="-1.788 5.205 2.264 -0.248 -4.932 3.321 6.817 1.289 2.422" Properties=species:S:1:pos:R:3 pbc="T T T"
Mo 3.408 0.644 1.211
Ba 1.006 2.257 3.427
Ba 3.775 -0.696 4.580
Ba 0.000 0.000 0.000
O 1.778 -2.841 3.957
O 1.904 -0.332 2.268
O 3.003 4.402 4.050
O 0.869 -0.194 5.109
O -0.124 -2.466 1.661
O 2.877 1.894 5.739
O -1.018 0.136 2.793
O -0.894 2.602 1.132
O 3.912 1.755 2.898
Zr 0.390 -1.335 3.378
Zr 4.390 2.897 4.629
```

Output
Total energy   -7.8777 eV/atom
Symmetry   P-3m1 (164)
M_tot   2.00 μB/f.u.